Entry 1:
A plane-wave DFT calculation with PBEsol was carried out for crystalline KCaPb2 at its relaxed geometry.

Calculated values
electronic total energy: -3.16 eV/atom
crystal system: orthorhombic

a b c (Å): 3.540 4.801 7.691
angles (deg): 90.00 90.00 90.00
Element x y z (fractional)
K: 0.000 0.000 0.000
Ca: 0.000 0.000 0.500
Pb: 0.500 0.500 0.297
Pb: 0.500 0.500 0.703

=====

Entry 2:
A plane-wave DFT calculation with PBEsol was carried out for crystalline BaPPbS2 at its relaxed geometry.

Calculated values
ΔE_f (raw): -0.319 eV per atom
electronic total energy: -4.46 eV/atom
crystal system: tetragonal

a b c (Å): 5.235 5.235 5.086
angles (deg): 90.00 90.00 90.00
Element x y z (fractional)
Ba: 0.000 0.000 0.000
P: 0.500 0.500 0.000
Pb: 0.500 0.500 0.500
S: 0.000 0.500 0.500
S: 0.500 0.000 0.500

=====

Entry 3:
A plane-wave DFT calculation with PBEsol was carried out for crystalline Li2MgHg at its relaxed geometry.

Calculated values
offset from the most stable computed form: 35.5 meV per atom
electronic total energy: -1.84 eV/atom
crystal system: tetragonal

a b c (Å): 4.178 4.178 4.153
angles (deg): 90.00 90.00 90.00
Element x y z (fractional)
Li: 0.000 0.500 0.000
Li: 0.500 0.000 0.000
Mg: 0.000 0.000 0.500
Hg: 0.500 0.500 0.500

=====

Entry 4:
A plane-wave DFT calculation with PBEsol was carried out for crystalline NdCu at its relaxed geometry.

Calculated values
electronic total energy: -4.91 eV/atom
crystal system: orthorhombic

a b c (Å): 7.279 4.469 5.480
angles (deg): 90.00 90.00 90.00
Element x y z (fractional)
Nd: 0.178 0.250 0.117
Nd: 0.322 0.750 0.617
Nd: 0.678 0.250 0.383
Nd: 0.822 0.750 0.883
Cu: 0.034 0.250 0.613
Cu: 0.466 0.750 0.113
Cu: 0.534 0.250 0.887
Cu: 0.966 0.750 0.387

=====

> Look up the electronic total energy of the third one.

-1.84 eV/atom

=====

> Look up the electronic total energy of the second one.

-4.46 eV/atom

=====

> What is the electronic total energy in the third record?

-1.84 eV/atom